DFT (GGA+U) results for an optimized crystal structure of CrNiO2.

- crystal system = tetragonal
- total DFT energy (no corrections) (eV per atom) = -5.978

CIF file:
```
data_CrNiO2
_cell_length_a 4.359
_cell_length_b 4.359
_cell_length_c 10.341
_cell_angle_alpha 90.00
_cell_angle_beta 90.00
_cell_angle_gamma 90.00
_space_group_name_H-M_alt 'I -4 2 d'
_space_group_IT_number 122
_space_group_name_Hall 'I -4 2bw'
loop_
_atom_site_label
_atom_site_type_symbol
_atom_site_fract_x
_atom_site_fract_y
_atom_site_fract_z
Cr1 Cr 0.000 0.000 0.000
Ni1 Ni 0.000 0.000 0.500
O1 O 0.243 0.250 0.625
```